Here is a relaxed Tb2Pd5Pb crystal from Alexandria via LeMat-Bulk. Energies are from PBE.

Results
**Calculated total energy**: -5.553 eV/atom

Cell lengths 6.308, 6.308, 7.862 Å; angles 90.00, 90.00, 90.00 degrees
Space group I4mm (No. 107)
One atom of each set of equivalent atoms:
1 Tb 0.000 0.500 0.000 x4
2 Pd 0.000 0.000 0.010 x2
3 Pd 0.223 0.223 0.739 x8
4 Pb 0.000 0.000 0.408 x2